# 1
A relaxed structure of NdGa2PdRh, computed with PBE.

Values from the calculation:
The formation energy comes out at -0.792 eV/atom. For the total energy, the calculation gives -27.32 eV per cell. As for the space group: I-4m2.

abc: 6.079 6.079 6.079
angles: 139.36 139.36 58.83
Atoms (fractional coordinates):
Nd: 0.000 0.000 0.000
Ga: 0.378 0.378 0.000
Ga: 0.622 0.622 0.000
Pd: 0.250 0.750 0.500
Rh: 0.750 0.250 0.500


# 2
A relaxed structure of KGaSe2O6, computed with PBE.

Values from the calculation:
For the total energy, the calculation gives -214.79 eV per cell. Its formation energy without anion corrections is -1.29 eV per atom. As for the space group: Pnma.

abc: 15.166 5.415 7.552
angles: 90.00 90.00 90.00
Atoms (fractional coordinates):
K: 0.109 0.250 0.067
K: 0.391 0.750 0.567
K: 0.609 0.250 0.433
K: 0.891 0.750 0.933
Ga: 0.129 0.750 0.687
Ga: 0.371 0.250 0.187
Ga: 0.629 0.750 0.813
Ga: 0.871 0.250 0.313
Se: 0.024 0.250 0.613
Se: 0.225 0.250 0.492
Se: 0.275 0.750 0.992
Se: 0.476 0.750 0.113
Se: 0.524 0.250 0.887
Se: 0.725 0.250 0.008
Se: 0.775 0.750 0.508
Se: 0.976 0.750 0.387
O: 0.034 0.003 0.758
O: 0.034 0.497 0.758
O: 0.089 0.750 0.430
O: 0.163 0.750 0.942
O: 0.223 0.004 0.639
O: 0.223 0.496 0.639
O: 0.277 0.504 0.139
O: 0.277 0.996 0.139
O: 0.337 0.250 0.442
O: 0.411 0.250 0.930
O: 0.466 0.503 0.258
O: 0.466 0.997 0.258
O: 0.534 0.003 0.742
O: 0.534 0.497 0.742
O: 0.589 0.750 0.070
O: 0.663 0.750 0.558
O: 0.723 0.004 0.861
O: 0.723 0.496 0.861
O: 0.777 0.504 0.361
O: 0.777 0.996 0.361
O: 0.837 0.250 0.058
O: 0.911 0.250 0.570
O: 0.966 0.503 0.242
O: 0.966 0.997 0.242


# 3
A relaxed structure of Ti2NbRh, computed with PBE.

Values from the calculation:
The formation energy comes out at -0.436 eV/atom. For the total energy, the calculation gives -34.96 eV per cell. As for the space group: P4/mmm.

abc: 3.133 3.133 6.588
angles: 90.00 90.00 90.00
Atoms (fractional coordinates):
Ti: 0.000 0.000 0.238
Ti: 0.000 0.000 0.762
Nb: 0.500 0.500 0.500
Rh: 0.500 0.500 0.000


# 4
A relaxed structure of Er4In2Ir, computed with PBE.

Values from the calculation:
The formation energy comes out at -0.420 eV/atom. For the total energy, the calculation gives -35.53 eV per cell. As for the space group: P2/m.

abc: 6.430 3.709 8.977
angles: 90.00 110.46 90.00
Atoms (fractional coordinates):
Er: 0.122 0.000 0.250
Er: 0.330 0.500 0.648
Er: 0.670 0.500 0.352
Er: 0.878 0.000 0.750
In: 0.266 0.500 0.998
In: 0.734 0.500 0.002
Ir: 0.500 0.000 0.500